Entry 1:
{"formula": "KSrSbTe2", "functional": "PBE", "state": "relaxed", "cell": [[6.017, 0.000, 0.000], [0.000, 6.017, 0.000], [0.000, 0.000, 5.716]], "species": ["K", "Sr", "Sb", "Te", "Te"], "fractional_positions": [[0.000, 0.000, 0.000], [0.500, 0.500, 0.500], [0.000, 0.000, 0.500], [0.000, 0.500, 0.000], [0.500, 0.000, 0.000]], "polymorph_energy_ev_per_fu": 1.70, "volume_a3_per_atom": 41.39, "raw_formation_energy_ev_per_fu": 0.61}

Entry 2:
{"formula": "Hf2MnBe3", "functional": "PBE", "state": "relaxed", "cell": [[4.149, -2.391, 0.000], [4.149, 2.391, 0.000], [-2.769, 0.000, 3.926]], "species": ["Hf", "Hf", "Mn", "Be", "Be", "Be"], "fractional_positions": [[0.127, 0.127, 0.380], [0.873, 0.873, 0.620], [0.500, 0.500, 0.500], [0.000, 0.500, 0.000], [0.500, 0.000, 0.000], [0.500, 0.500, 0.000]], "volume_a3_per_atom": 12.98, "e_tot_ev_per_atom": -6.854}

Entry 3:
{"formula": "KSbMo2", "functional": "PBE", "state": "relaxed", "cell": [[1.687, -2.439, 0.000], [1.687, 2.439, 0.000], [0.000, 0.000, 10.470]], "species": ["K", "Sb", "Mo", "Mo"], "fractional_positions": [[0.000, 0.000, 0.000], [0.000, 0.000, 0.500], [0.500, 0.500, 0.291], [0.500, 0.500, 0.709]], "volume_a3_per_atom": 21.54, "raw_formation_energy_ev_per_fu": 4.21}

Entry 4:
{"formula": "Tb6TeAs3P2", "functional": "PBE", "state": "relaxed", "cell": [[9.006, -2.067, 0.000], [9.006, 2.067, 0.000], [-1.873, 0.000, 8.103]], "species": ["Tb", "Tb", "Tb", "Tb", "Tb", "Tb", "Te", "As", "As", "As", "P", "P"], "fractional_positions": [[0.004, 0.004, 0.270], [0.325, 0.325, 0.905], [0.331, 0.331, 0.420], [0.669, 0.669, 0.580], [0.675, 0.675, 0.095], [0.996, 0.996, 0.730], [0.500, 0.500, 0.000], [0.163, 0.163, 0.833], [0.500, 0.500, 0.500], [0.837, 0.837, 0.167], [0.168, 0.168, 0.335], [0.832, 0.832, 0.665]], "volume_a3_per_atom": 25.14, "raw_formation_energy_ev_per_fu": -18.63}